Computed, not measured: a relaxed structure of Ac2Pr2Tl3 at the PBE level of DFT.

Output
ΔE_f	-0.261	eV per atom
distance to the lowest polymorph of the same formula	0.000	eV/f.u.
total magnetization	0.00	μB/cell
calculated density	9.561	g/cm3

CIF file:
```
data_Ac2Pr2Tl3
_chemical_formula_sum 'Ac2 Pr2 Tl3'
_cell_length_a 4.089
_cell_length_b 6.599
_cell_length_c 9.142
_cell_angle_alpha 92.77
_cell_angle_beta 90.03
_cell_angle_gamma 108.04
_symmetry_space_group_name_H-M 'P 1'
_symmetry_Int_Tables_number 1
_symmetry_space_group_name_Hall 'P 1'
loop_
_atom_site_label
_atom_site_type_symbol
_atom_site_fract_x
_atom_site_fract_y
_atom_site_fract_z
Ac1 Ac 0.207 0.414 0.165
Ac2 Ac 0.793 0.586 0.835
Pr1 Pr 0.059 0.117 0.702
Pr2 Pr 0.941 0.883 0.298
Tl1 Tl 0.346 0.693 0.542
Tl2 Tl 0.500 0.000 0.000
Tl3 Tl 0.654 0.307 0.458
```